# 1
# TbPm6Y12 PBE relaxed
data_TbPm6Y12
_chemical_formula_sum 'Tb1 Pm6 Y12'
_symmetry_space_group_name_H-M 'P 1'
_symmetry_Int_Tables_number 1
_cell_length_a 8.716
_cell_length_b 8.716
_cell_length_c 8.716
_cell_angle_alpha 79.76
_cell_angle_beta 79.76
_cell_angle_gamma 79.76
loop_
_symmetry_equiv_pos_as_xyz
'x,y,z'
loop_
_atom_site_label
_atom_site_type_symbol
_atom_site_fract_x
_atom_site_fract_y
_atom_site_fract_z
Tb1 Tb 0.000 0.000 0.000
Pm1 Pm 0.163 0.770 0.770
Pm2 Pm 0.230 0.230 0.837
Pm3 Pm 0.230 0.837 0.230
Pm4 Pm 0.770 0.163 0.770
Pm5 Pm 0.770 0.770 0.163
Pm6 Pm 0.837 0.230 0.230
Y1 Y 0.136 0.136 0.485
Y2 Y 0.136 0.485 0.136
Y3 Y 0.196 0.516 0.516
Y4 Y 0.484 0.484 0.804
Y5 Y 0.484 0.804 0.484
Y6 Y 0.485 0.136 0.136
Y7 Y 0.515 0.864 0.864
Y8 Y 0.516 0.196 0.516
Y9 Y 0.516 0.516 0.196
Y10 Y 0.804 0.484 0.484
Y11 Y 0.864 0.515 0.864
Y12 Y 0.864 0.864 0.515
# ΔH_f (0 K) (kJ/mol of formula units): 210
# Final energy (eV/atom): -5.71
# V (Å³ per atom): 33.36
# Crystal system: trigonal
# M_tot (μB/cell): 0.00


# 2
# LaCePr2 PBE relaxed
data_LaCePr2
_chemical_formula_sum 'La1 Ce1 Pr2'
_symmetry_space_group_name_H-M 'P 1'
_symmetry_Int_Tables_number 1
_cell_length_a 5.166
_cell_length_b 5.166
_cell_length_c 5.184
_cell_angle_alpha 90.00
_cell_angle_beta 90.00
_cell_angle_gamma 90.00
loop_
_symmetry_equiv_pos_as_xyz
'x,y,z'
loop_
_atom_site_label
_atom_site_type_symbol
_atom_site_fract_x
_atom_site_fract_y
_atom_site_fract_z
La1 La 0.000 0.000 0.000
Ce1 Ce 0.500 0.500 0.000
Pr1 Pr 0.000 0.500 0.500
Pr2 Pr 0.500 0.000 0.500
# ΔH_f (0 K) (kJ/mol of formula units): 31
# Final energy (eV/atom): -5.02
# V (Å³ per atom): 34.59
# Crystal system: tetragonal
# M_tot (μB/cell): 0.91


# 3
# NaSc2Cu PBE relaxed
data_NaSc2Cu
_chemical_formula_sum 'Na2 Sc4 Cu2'
_symmetry_space_group_name_H-M 'P 1'
_symmetry_Int_Tables_number 1
_cell_length_a 6.347
_cell_length_b 6.347
_cell_length_c 6.347
_cell_angle_alpha 103.43
_cell_angle_beta 103.43
_cell_angle_gamma 122.37
loop_
_symmetry_equiv_pos_as_xyz
'x,y,z'
loop_
_atom_site_label
_atom_site_type_symbol
_atom_site_fract_x
_atom_site_fract_y
_atom_site_fract_z
Na1 Na 0.000 0.000 0.000
Na2 Na 0.750 0.250 0.500
Sc1 Sc 0.183 0.625 0.058
Sc2 Sc 0.375 0.433 0.558
Sc3 Sc 0.567 0.125 0.942
Sc4 Sc 0.875 0.817 0.442
Cu1 Cu 0.250 0.750 0.500
Cu2 Cu 0.500 0.500 0.000
# ΔH_f (0 K) (kJ/mol of formula units): 149
# Final energy (eV/atom): -4.13
# V (Å³ per atom): 23.66
# Crystal system: tetragonal
# M_tot (μB/cell): 2.67


# 4
# Cd5SnHg11 PBE relaxed
data_Cd5SnHg11
_chemical_formula_sum 'Cd5 Sn1 Hg11'
_symmetry_space_group_name_H-M 'P 1'
_symmetry_Int_Tables_number 1
_cell_length_a 8.753
_cell_length_b 8.753
_cell_length_c 6.142
_cell_angle_alpha 93.58
_cell_angle_beta 93.58
_cell_angle_gamma 110.93
loop_
_symmetry_equiv_pos_as_xyz
'x,y,z'
loop_
_atom_site_label
_atom_site_type_symbol
_atom_site_fract_x
_atom_site_fract_y
_atom_site_fract_z
Cd1 Cd 0.000 0.000 0.000
Cd2 Cd 0.175 0.511 0.353
Cd3 Cd 0.489 0.825 0.647
Cd4 Cd 0.511 0.175 0.353
Cd5 Cd 0.825 0.489 0.647
Sn1 Sn 0.500 0.500 0.000
Hg1 Hg 0.133 0.393 0.860
Hg2 Hg 0.149 0.760 0.750
Hg3 Hg 0.155 0.155 0.461
Hg4 Hg 0.240 0.851 0.250
Hg5 Hg 0.393 0.133 0.860
Hg6 Hg 0.500 0.500 0.500
Hg7 Hg 0.607 0.867 0.140
Hg8 Hg 0.760 0.149 0.750
Hg9 Hg 0.845 0.845 0.539
Hg10 Hg 0.851 0.240 0.250
Hg11 Hg 0.867 0.607 0.140
# ΔH_f (0 K) (kJ/mol of formula units): 69
# Final energy (eV/atom): -0.66
# V (Å³ per atom): 25.69
# Crystal system: monoclinic
# M_tot (μB/cell): 0.00


# 5
# ZnNiOs PBE relaxed
data_ZnNiOs
_chemical_formula_sum 'Zn1 Ni1 Os1'
_symmetry_space_group_name_H-M 'P 1'
_symmetry_Int_Tables_number 1
_cell_length_a 6.831
_cell_length_b 6.605
_cell_length_c 2.627
_cell_angle_alpha 83.61
_cell_angle_beta 73.92
_cell_angle_gamma 22.47
loop_
_symmetry_equiv_pos_as_xyz
'x,y,z'
loop_
_atom_site_label
_atom_site_type_symbol
_atom_site_fract_x
_atom_site_fract_y
_atom_site_fract_z
Zn1 Zn 0.000 0.000 0.000
Ni1 Ni 0.658 0.658 0.342
Os1 Os 0.321 0.321 0.679
# ΔH_f (0 K) (kJ/mol of formula units): 58
# Final energy (eV/atom): -5.89
# V (Å³ per atom): 13.34
# Crystal system: orthorhombic
# M_tot (μB/cell): 0.00


# 6
# RbCdHgIr2 PBE relaxed
data_RbCdHgIr2
_chemical_formula_sum 'Rb1 Cd1 Hg1 Ir2'
_symmetry_space_group_name_H-M 'P 1'
_symmetry_Int_Tables_number 1
_cell_length_a 5.141
_cell_length_b 5.141
_cell_length_c 5.511
_cell_angle_alpha 90.00
_cell_angle_beta 90.00
_cell_angle_gamma 90.00
loop_
_symmetry_equiv_pos_as_xyz
'x,y,z'
loop_
_atom_site_label
_atom_site_type_symbol
_atom_site_fract_x
_atom_site_fract_y
_atom_site_fract_z
Rb1 Rb 0.000 0.000 0.000
Cd1 Cd 0.500 0.500 0.500
Hg1 Hg 0.500 0.500 0.000
Ir1 Ir 0.000 0.500 0.500
Ir2 Ir 0.500 0.000 0.500
# ΔH_f (0 K) (kJ/mol of formula units): 640
# Final energy (eV/atom): -2.65
# V (Å³ per atom): 29.13
# Crystal system: tetragonal
# M_tot (μB/cell): 1.80


# 7
# Pr2YEr3 PBE relaxed
data_Pr2YEr3
_chemical_formula_sum 'Pr4 Y2 Er6'
_symmetry_space_group_name_H-M 'P 1'
_symmetry_Int_Tables_number 1
_cell_length_a 8.995
_cell_length_b 8.995
_cell_length_c 10.114
_cell_angle_alpha 122.82
_cell_angle_beta 122.82
_cell_angle_gamma 36.11
loop_
_symmetry_equiv_pos_as_xyz
'x,y,z'
loop_
_atom_site_label
_atom_site_type_symbol
_atom_site_fract_x
_atom_site_fract_y
_atom_site_fract_z
Pr1 Pr 0.010 0.010 0.358
Pr2 Pr 0.273 0.273 0.631
Pr3 Pr 0.727 0.727 0.369
Pr4 Pr 0.990 0.990 0.642
Y1 Y 0.365 0.365 0.358
Y2 Y 0.635 0.635 0.642
Er1 Er 0.112 0.112 0.153
Er2 Er 0.208 0.208 0.925
Er3 Er 0.449 0.449 0.102
Er4 Er 0.551 0.551 0.898
Er5 Er 0.792 0.792 0.075
Er6 Er 0.888 0.888 0.847
# ΔH_f (0 K) (kJ/mol of formula units): 54
# Final energy (eV/atom): -4.86
# V (Å³ per atom): 33.02
# Crystal system: monoclinic
# M_tot (μB/cell): 0.00


# 8
# In2CuTe PBE relaxed
data_In2CuTe
_chemical_formula_sum 'In2 Cu1 Te1'
_symmetry_space_group_name_H-M 'P 1'
_symmetry_Int_Tables_number 1
_cell_length_a 4.203
_cell_length_b 4.023
_cell_length_c 6.161
_cell_angle_alpha 90.00
_cell_angle_beta 103.57
_cell_angle_gamma 90.00
loop_
_symmetry_equiv_pos_as_xyz
'x,y,z'
loop_
_atom_site_label
_atom_site_type_symbol
_atom_site_fract_x
_atom_site_fract_y
_atom_site_fract_z
In1 In 0.000 0.000 0.000
In2 In 0.500 0.500 0.000
Cu1 Cu 0.000 0.000 0.500
Te1 Te 0.500 0.500 0.500
# Final energy (eV/atom): -3.03
# V (Å³ per atom): 25.32
# Crystal system: monoclinic
# Formation energy from raw total energies (eV per atom): 0.15
# M_tot (μB/cell): 0.00


# 9
# Er2VBr PBE relaxed
data_Er2VBr
_chemical_formula_sum 'Er2 V1 Br1'
_symmetry_space_group_name_H-M 'P 1'
_symmetry_Int_Tables_number 1
_cell_length_a 10.629
_cell_length_b 10.629
_cell_length_c 10.629
_cell_angle_alpha 18.17
_cell_angle_beta 18.17
_cell_angle_gamma 18.17
loop_
_symmetry_equiv_pos_as_xyz
'x,y,z'
loop_
_atom_site_label
_atom_site_type_symbol
_atom_site_fract_x
_atom_site_fract_y
_atom_site_fract_z
Er1 Er 0.090 0.090 0.090
Er2 Er 0.910 0.910 0.910
V1 V 0.000 0.000 0.000
Br1 Br 0.500 0.500 0.500
# Final energy (eV/atom): -4.78
# V (Å³ per atom): 25.50
# Crystal system: trigonal
# Formation energy from raw total energies (eV per atom): 0.20
# M_tot (μB/cell): 3.28


# 10
# NdSm2Dy8 PBE relaxed
data_NdSm2Dy8
_chemical_formula_sum 'Nd1 Sm2 Dy8'
_symmetry_space_group_name_H-M 'P 1'
_symmetry_Int_Tables_number 1
_cell_length_a 10.144
_cell_length_b 10.144
_cell_length_c 5.564
_cell_angle_alpha 92.73
_cell_angle_beta 92.73
_cell_angle_gamma 40.41
loop_
_symmetry_equiv_pos_as_xyz
'x,y,z'
loop_
_atom_site_label
_atom_site_type_symbol
_atom_site_fract_x
_atom_site_fract_y
_atom_site_fract_z
Nd1 Nd 0.000 0.000 0.000
Sm1 Sm 0.284 0.284 0.748
Sm2 Sm 0.716 0.716 0.252
Dy1 Dy 0.135 0.602 0.267
Dy2 Dy 0.187 0.187 0.234
Dy3 Dy 0.398 0.865 0.733
Dy4 Dy 0.454 0.454 0.762
Dy5 Dy 0.546 0.546 0.238
Dy6 Dy 0.602 0.135 0.267
Dy7 Dy 0.813 0.813 0.766
Dy8 Dy 0.865 0.398 0.733
# ΔH_f (0 K) (kJ/mol of formula units): 165
# Final energy (eV/atom): -4.48
# V (Å³ per atom): 33.71
# Crystal system: monoclinic
# M_tot (μB/cell): 0.00